A plane-wave DFT calculation with GGA+U was carried out for an optimized crystal structure of Sr3CrBr2F6.

Properties
DOS(E_F): 0.00 states/eV per cell
calculated total energy: -5.2279 eV per atom

Cell lengths 5.7300, 7.4826, 7.4544 Å; angles 120.13, 81.58, 90.00 degrees
Last column: nearest neighbours and their distance in Å.
Fractional positions:
Sr: 0.0000 0.5000 0.0000  4 F 2.54
Sr: 0.5000 0.5000 0.5000  4 F 2.42-2.47
Sr: 0.5000 0.0000 0.5000  4 F 2.42-2.47
Cr: 0.5000 0.0000 0.0000  2 F 1.99
Br: 0.1109 0.7172 0.4343  3 Sr 2.97-3.00, 1 F 3.00
Br: 0.8891 0.2828 0.5657  3 Sr 2.97-3.00, 1 F 3.00
F: 0.6974 0.3242 0.1288  1 Cr 2.46, 2 Sr 2.47-2.54
F: 0.3026 0.6758 0.8712  1 Cr 2.46, 2 Sr 2.47-2.54
F: 0.6236 0.8463 0.6926  1 Cr 1.99
F: 0.3764 0.1537 0.3074  1 Cr 1.99
F: 0.3026 0.1953 0.8712  1 Cr 2.46, 2 Sr 2.47-2.54
F: 0.6974 0.8047 0.1288  1 Cr 2.46, 2 Sr 2.47-2.54